1.
Rb2AgSbF6 | PBEsol | relaxed

a b c (Å): 6.4268 6.4268 6.4268
angles (deg): 60.00 60.00 60.00
Fractional coordinates of all 10 atoms:
Rb 0.2500 0.2500 0.2500
Rb 0.7500 0.7500 0.7500
Ag 0.0000 0.0000 0.0000
Sb 0.5000 0.5000 0.5000
F 0.2611 0.2611 0.7389
F 0.2611 0.7389 0.2611
F 0.2611 0.7389 0.7389
F 0.7389 0.2611 0.2611
F 0.7389 0.2611 0.7389
F 0.7389 0.7389 0.2611

2.
Rb2TlAgF6 | PBEsol | relaxed

a b c (Å): 6.3606 6.3606 6.3606
angles (deg): 60.00 60.00 60.00
Fractional coordinates of all 10 atoms:
Rb 0.2500 0.2500 0.2500
Rb 0.7500 0.7500 0.7500
Tl 0.0000 0.0000 0.0000
Ag 0.5000 0.5000 0.5000
F 0.2433 0.2433 0.7567
F 0.2433 0.7567 0.2433
F 0.2433 0.7567 0.7567
F 0.7567 0.2433 0.2433
F 0.7567 0.2433 0.7567
F 0.7567 0.7567 0.2433

3.
Rb2YAgF6 | PBEsol | relaxed

a b c (Å): 6.4025 6.4025 6.4025
angles (deg): 60.00 60.00 60.00
Fractional coordinates of all 10 atoms:
Rb 0.2500 0.2500 0.2500
Rb 0.7500 0.7500 0.7500
Y 0.0000 0.0000 0.0000
Ag 0.5000 0.5000 0.5000
F 0.2368 0.2368 0.7632
F 0.2368 0.7632 0.2368
F 0.2368 0.7632 0.7632
F 0.7632 0.2368 0.2368
F 0.7632 0.2368 0.7632
F 0.7632 0.7632 0.2368

4.
AgRuF7 | PBEsol | relaxed

a b c (Å): 8.2805 5.5107 12.3827
angles (deg): 90.00 112.45 90.00
Fractional coordinates of all 36 atoms:
Ag 0.1455 0.2112 0.2135
Ag 0.1455 0.2888 0.7135
Ag 0.8545 0.7112 0.2865
Ag 0.8545 0.7888 0.7865
Ru 0.2887 0.7099 0.0628
Ru 0.2887 0.7901 0.5628
Ru 0.7113 0.2099 0.4372
Ru 0.7113 0.2901 0.9372
F 0.0202 0.5829 0.7396
F 0.0202 0.9171 0.2396
F 0.0460 0.7476 0.4985
F 0.0460 0.7524 0.9985
F 0.2664 0.0789 0.4845
F 0.2664 0.4211 0.9845
F 0.2688 0.5401 0.1930
F 0.2688 0.9599 0.6930
F 0.3093 0.6176 0.4420
F 0.3093 0.8824 0.9420
F 0.3102 0.0048 0.1500
F 0.3102 0.4952 0.6500
F 0.4705 0.1745 0.3667
F 0.4705 0.3255 0.8667
F 0.5295 0.6745 0.1333
F 0.5295 0.8255 0.6333
F 0.6898 0.5048 0.3500
F 0.6898 0.9952 0.8500
F 0.6907 0.1176 0.0580
F 0.6907 0.3824 0.5580
F 0.7312 0.0401 0.3070
F 0.7312 0.4599 0.8070
F 0.7336 0.5789 0.0155
F 0.7336 0.9211 0.5155
F 0.9540 0.2476 0.0015
F 0.9540 0.2524 0.5015
F 0.9798 0.0829 0.7604
F 0.9798 0.4171 0.2604

5.
AgRu2F | PBEsol | relaxed

a b c (Å): 4.2782 4.2782 4.2782
angles (deg): 60.00 60.00 60.00
Fractional coordinates of all 4 atoms:
Ag 0.0000 0.0000 0.0000
Ru 0.2500 0.2500 0.2500
Ru 0.7500 0.7500 0.7500
F 0.5000 0.5000 0.5000

6.
ZrAg2RuF | PBEsol | relaxed

a b c (Å): 5.0462 5.0462 3.7290
angles (deg): 90.00 90.00 90.00
Fractional coordinates of all 5 atoms:
Zr 0.0000 0.0000 0.0000
Ag 0.0000 0.5000 0.5000
Ag 0.5000 0.0000 0.5000
Ru 0.5000 0.5000 0.5000
F 0.5000 0.5000 0.0000

7.
AgS2F | PBEsol | relaxed

a b c (Å): 4.2811 4.2811 4.2811
angles (deg): 60.00 60.00 60.00
Fractional coordinates of all 4 atoms:
Ag 0.0000 0.0000 0.0000
S 0.2500 0.2500 0.2500
S 0.7500 0.7500 0.7500
F 0.5000 0.5000 0.5000

8.
AgSbF6 | PBEsol | relaxed

a b c (Å): 8.3952 8.3952 8.3952
angles (deg): 109.47 109.47 109.47
Fractional coordinates of all 32 atoms:
Ag 0.0000 0.0000 0.5000
Ag 0.0000 0.5000 0.0000
Ag 0.5000 0.0000 0.0000
Ag 0.5000 0.5000 0.5000
Sb 0.0000 0.0000 0.0000
Sb 0.0000 0.5000 0.5000
Sb 0.5000 0.0000 0.5000
Sb 0.5000 0.5000 0.0000
F 0.0279 0.5822 0.3190
F 0.0543 0.2631 0.0822
F 0.0822 0.0543 0.2631
F 0.1810 0.7631 0.7088
F 0.2088 0.4457 0.5279
F 0.2369 0.2912 0.8190
F 0.2631 0.0822 0.0543
F 0.2912 0.8190 0.2369
F 0.3190 0.0279 0.5822
F 0.4178 0.6810 0.9721
F 0.4457 0.5279 0.2088
F 0.4721 0.7912 0.5543
F 0.5279 0.2088 0.4457
F 0.5543 0.4721 0.7912
F 0.5822 0.3190 0.0279
F 0.6810 0.9721 0.4178
F 0.7088 0.1810 0.7631
F 0.7369 0.9178 0.9457
F 0.7631 0.7088 0.1810
F 0.7912 0.5543 0.4721
F 0.8190 0.2369 0.2912
F 0.9178 0.9457 0.7369
F 0.9457 0.7369 0.9178
F 0.9721 0.4178 0.6810

9.
AgSbF6 | PBEsol | relaxed

a b c (Å): 6.0559 6.0559 6.0559
angles (deg): 60.00 60.00 60.00
Fractional coordinates of all 8 atoms:
Ag 0.0000 0.0000 0.0000
Sb 0.5000 0.5000 0.5000
F 0.2761 0.2761 0.7239
F 0.2761 0.7239 0.2761
F 0.2761 0.7239 0.7239
F 0.7239 0.2761 0.2761
F 0.7239 0.2761 0.7239
F 0.7239 0.7239 0.2761

10.
Ag3Sb4F24 | PBEsol | relaxed

a b c (Å): 10.6981 10.6981 10.6981
angles (deg): 109.47 109.47 109.47
Fractional coordinates of all 62 atoms:
Ag 0.1250 0.7500 0.8750
Ag 0.2500 0.6250 0.3750
Ag 0.3750 0.2500 0.6250
Ag 0.6250 0.3750 0.2500
Ag 0.7500 0.8750 0.1250
Ag 0.8750 0.1250 0.7500
Sb 0.0000 0.3779 0.5000
Sb 0.0000 0.8779 0.5000
Sb 0.1221 0.1221 0.1221
Sb 0.3779 0.5000 0.0000
Sb 0.5000 0.0000 0.3779
Sb 0.5000 0.0000 0.8779
Sb 0.6221 0.6221 0.6221
Sb 0.8779 0.5000 0.0000
F 0.0329 0.0869 0.9160
F 0.0539 0.4671 0.3830
F 0.0540 0.8562 0.6760
F 0.0840 0.6170 0.1709
F 0.0869 0.9160 0.0329
F 0.1170 0.5840 0.6709
F 0.1220 0.8022 0.4460
F 0.1438 0.3198 0.1978
F 0.1709 0.0840 0.6170
F 0.1760 0.3562 0.5540
F 0.1802 0.3240 0.8780
F 0.1978 0.1438 0.3198
F 0.3022 0.6220 0.9460
F 0.3198 0.1978 0.1438
F 0.3240 0.8780 0.1802
F 0.3291 0.9461 0.9131
F 0.3562 0.5540 0.1760
F 0.3780 0.8240 0.6802
F 0.3830 0.0539 0.4671
F 0.4131 0.4461 0.8291
F 0.4160 0.5869 0.5329
F 0.4460 0.1220 0.8022
F 0.4461 0.8291 0.4131
F 0.4671 0.3830 0.0539
F 0.5329 0.4160 0.5869
F 0.5540 0.1760 0.3562
F 0.5539 0.8830 0.9671
F 0.5840 0.6709 0.1170
F 0.5869 0.5329 0.4160
F 0.6170 0.1709 0.0840
F 0.6220 0.9460 0.3022
F 0.6438 0.6978 0.8198
F 0.6709 0.1170 0.5840
F 0.6760 0.0540 0.8562
F 0.6802 0.3780 0.8240
F 0.6978 0.8198 0.6438
F 0.8022 0.4460 0.1220
F 0.8198 0.6438 0.6978
F 0.8240 0.6802 0.3780
F 0.8291 0.4131 0.4461
F 0.8562 0.6760 0.0540
F 0.8780 0.1802 0.3240
F 0.8830 0.9671 0.5539
F 0.9131 0.3291 0.9461
F 0.9160 0.0329 0.0869
F 0.9460 0.3022 0.6220
F 0.9461 0.9131 0.3291
F 0.9671 0.5539 0.8830

11.
AgSb2F12 | PBEsol | relaxed

a b c (Å): 5.2459 5.4578 8.7131
angles (deg): 76.28 88.70 66.17
Fractional coordinates of all 15 atoms:
Ag 0.0000 0.0000 0.0000
Sb 0.2331 0.5137 0.7327
Sb 0.7669 0.4863 0.2673
F 0.1513 0.2679 0.2702
F 0.1846 0.2663 0.6316
F 0.1967 0.2730 0.9370
F 0.2843 0.7307 0.8742
F 0.2963 0.7442 0.5547
F 0.3771 0.7053 0.2142
F 0.6229 0.2947 0.7858
F 0.7037 0.2558 0.4453
F 0.7157 0.2693 0.1258
F 0.8033 0.7270 0.0630
F 0.8154 0.7337 0.3684
F 0.8487 0.7321 0.7298

12.
ScAgF2 | PBEsol | relaxed

a b c (Å): 7.6531 7.6531 7.6531
angles (deg): 24.30 24.30 24.30
Fractional coordinates of all 4 atoms:
Sc 0.0000 0.0000 0.0000
Ag 0.5000 0.5000 0.5000
F 0.0876 0.0876 0.0876
F 0.9124 0.9124 0.9124

13.
Sc2AgF | PBEsol | relaxed

a b c (Å): 8.6838 8.6838 8.6838
angles (deg): 21.59 21.59 21.59
Fractional coordinates of all 4 atoms:
Sc 0.0788 0.0788 0.0788
Sc 0.9212 0.9212 0.9212
Ag 0.5000 0.5000 0.5000
F 0.0000 0.0000 0.0000

14.
ScAg3F | PBEsol | relaxed

a b c (Å): 5.1087 5.1087 5.1087
angles (deg): 90.00 90.00 90.00
Fractional coordinates of all 5 atoms:
Sc 0.0000 0.0000 0.0000
Ag 0.0000 0.0000 0.5000
Ag 0.0000 0.5000 0.0000
Ag 0.5000 0.0000 0.0000
F 0.5000 0.5000 0.5000

15.
Ag2SeF | PBEsol | relaxed

a b c (Å): 4.4485 4.4485 4.4485
angles (deg): 60.00 60.00 60.00
Fractional coordinates of all 4 atoms:
Ag 0.2500 0.2500 0.2500
Ag 0.7500 0.7500 0.7500
Se 0.0000 0.0000 0.0000
F 0.5000 0.5000 0.5000

16.
ZrAgSnF2 | PBEsol | relaxed

a b c (Å): 4.2257 4.2257 6.1234
angles (deg): 90.00 90.00 90.00
Fractional coordinates of all 5 atoms:
Zr 0.0000 0.0000 0.0000
Ag 0.5000 0.5000 0.0000
Sn 0.0000 0.0000 0.5000
F 0.0000 0.5000 0.5000
F 0.5000 0.0000 0.5000

17.
SrAg3F | PBEsol | relaxed

a b c (Å): 4.7505 4.7505 4.7505
angles (deg): 90.00 90.00 90.00
Fractional coordinates of all 5 atoms:
Sr 0.0000 0.0000 0.0000
Ag 0.0000 0.5000 0.5000
Ag 0.5000 0.0000 0.5000
Ag 0.5000 0.5000 0.0000
F 0.5000 0.5000 0.5000

18.
Ta2AgF12 | PBEsol | relaxed

a b c (Å): 5.2174 5.5344 9.0251
angles (deg): 76.36 87.69 64.18
Fractional coordinates of all 15 atoms:
Ta 0.2278 0.0150 0.2277
Ta 0.7722 0.9850 0.7723
Ag 0.0000 0.5000 0.5000
F 0.1639 0.7634 0.7702
F 0.1889 0.7758 0.1264
F 0.1904 0.7664 0.4231
F 0.2644 0.2331 0.3687
F 0.2865 0.2394 0.0557
F 0.3733 0.1998 0.7151
F 0.6267 0.8002 0.2849
F 0.7135 0.7606 0.9443
F 0.7356 0.7669 0.6313
F 0.8096 0.2336 0.5769
F 0.8111 0.2242 0.8736
F 0.8361 0.2366 0.2298

19.
TaTiAg2F | PBEsol | relaxed

a b c (Å): 4.6628 4.6628 3.7923
angles (deg): 90.00 90.00 90.00
Fractional coordinates of all 5 atoms:
Ta 0.0000 0.0000 0.0000
Ti 0.5000 0.5000 0.0000
Ag 0.0000 0.5000 0.5000
Ag 0.5000 0.0000 0.5000
F 0.5000 0.5000 0.5000

20.
Tc2AgF2 | PBEsol | relaxed

a b c (Å): 6.7755 6.7755 6.7755
angles (deg): 151.26 151.26 41.09
Fractional coordinates of all 5 atoms:
Tc 0.2500 0.7500 0.5000
Tc 0.7500 0.2500 0.5000
Ag 0.0000 0.0000 0.0000
F 0.4012 0.4012 0.0000
F 0.5988 0.5988 0.0000

Across the entries above, raw formation energy takes the values -2232 -2069 -2925 -1531 896 483 129 -2005 -2018 -2043 -2044 -1627 -1122 922 -385 -595 -183 -2797 153 144 meV per atom, respectively.